# TaTcP2 PBE optimized geometry
# * formation energy: -285 meV per atom
# * E above lowest polymorph: 1.50 eV per formula unit
data_TaTcP2
_chemical_formula_sum 'Ta1 Tc1 P2'
_symmetry_space_group_name_H-M 'P 1'
_symmetry_Int_Tables_number 1
_cell_length_a 3.9608
_cell_length_b 3.9608
_cell_length_c 5.4740
_cell_angle_alpha 78.33
_cell_angle_beta 78.33
_cell_angle_gamma 44.99
loop_
_symmetry_equiv_pos_as_xyz
'x,y,z'
loop_
_atom_site_label
_atom_site_type_symbol
_atom_site_fract_x
_atom_site_fract_y
_atom_site_fract_z
Ta1 Ta 0.7500 0.7500 0.7500
P1 P 0.9971 0.9971 0.0292
P2 P 0.5029 0.5029 0.4708
Tc1 Tc 0.2500 0.2500 0.2500



# Dy2SeBr PBE optimized geometry
# * E above lowest polymorph: 0.00 eV per formula unit
data_Dy2SeBr
_chemical_formula_sum 'Dy2 Se1 Br1'
_symmetry_space_group_name_H-M 'P 1'
_symmetry_Int_Tables_number 1
_cell_length_a 3.8136
_cell_length_b 3.8136
_cell_length_c 8.2764
_cell_angle_alpha 76.68
_cell_angle_beta 76.68
_cell_angle_gamma 60.00
loop_
_symmetry_equiv_pos_as_xyz
'x,y,z'
loop_
_atom_site_label
_atom_site_type_symbol
_atom_site_fract_x
_atom_site_fract_y
_atom_site_fract_z
Br1 Br 0.4996 0.4996 0.5012
Dy1 Dy 0.2602 0.2602 0.2195
Dy2 Dy 0.0740 0.0740 0.7781
Se1 Se 0.6662 0.6662 0.0013



# Y2CrAs PBE optimized geometry
# * formation energy: -279 meV per atom
data_Y2CrAs
_chemical_formula_sum 'Y2 Cr1 As1'
_symmetry_space_group_name_H-M 'P 1'
_symmetry_Int_Tables_number 1
_cell_length_a 7.9126
_cell_length_b 7.9126
_cell_length_c 7.9126
_cell_angle_alpha 29.05
_cell_angle_beta 29.05
_cell_angle_gamma 29.05
loop_
_symmetry_equiv_pos_as_xyz
'x,y,z'
loop_
_atom_site_label
_atom_site_type_symbol
_atom_site_fract_x
_atom_site_fract_y
_atom_site_fract_z
Cr1 Cr 0.7500 0.7500 0.7500
Y1 Y 0.5091 0.5091 0.5091
Y2 Y 0.9909 0.9909 0.9909
As1 As 0.2500 0.2500 0.2500



# Ca2AgPd2Au5 PBE optimized geometry
# * formation energy: -496 meV per atom
data_Ca2AgPd2Au5
_chemical_formula_sum 'Ca4 Ag2 Pd4 Au10'
_symmetry_space_group_name_H-M 'P 1'
_symmetry_Int_Tables_number 1
_cell_length_a 4.2580
_cell_length_b 9.6948
_cell_length_c 9.6948
_cell_angle_alpha 90.00
_cell_angle_beta 90.00
_cell_angle_gamma 90.00
loop_
_symmetry_equiv_pos_as_xyz
'x,y,z'
loop_
_atom_site_label
_atom_site_type_symbol
_atom_site_fract_x
_atom_site_fract_y
_atom_site_fract_z
Ca1 Ca 0.0000 0.3272 0.8272
Ca2 Ca 0.0000 0.1728 0.3272
Ca3 Ca 0.0000 0.6728 0.1728
Ca4 Ca 0.0000 0.8272 0.6728
Au1 Au 0.5000 0.9330 0.2000
Au2 Au 0.5000 0.0670 0.8000
Au3 Au 0.5000 0.0000 0.5000
Au4 Au 0.5000 0.5000 0.0000
Au5 Au 0.5000 0.3000 0.5670
Au6 Au 0.5000 0.2000 0.0670
Au7 Au 0.5000 0.7000 0.4330
Au8 Au 0.5000 0.5670 0.7000
Au9 Au 0.5000 0.4330 0.3000
Au10 Au 0.5000 0.8000 0.9330
Pd1 Pd 0.0000 0.1254 0.6254
Pd2 Pd 0.0000 0.8746 0.3746
Pd3 Pd 0.0000 0.3746 0.1254
Pd4 Pd 0.0000 0.6254 0.8746
Ag1 Ag 0.0000 0.0000 0.0000
Ag2 Ag 0.0000 0.5000 0.5000



# TbAl3CuPt PBE optimized geometry
# * formation energy: -508 meV per atom
data_TbAl3CuPt
_chemical_formula_sum 'Tb2 Al6 Cu2 Pt2'
_symmetry_space_group_name_H-M 'P 1'
_symmetry_Int_Tables_number 1
_cell_length_a 5.7853
_cell_length_b 6.2780
_cell_length_c 6.8018
_cell_angle_alpha 117.48
_cell_angle_beta 90.00
_cell_angle_gamma 90.00
loop_
_symmetry_equiv_pos_as_xyz
'x,y,z'
loop_
_atom_site_label
_atom_site_type_symbol
_atom_site_fract_x
_atom_site_fract_y
_atom_site_fract_z
Cu1 Cu 0.7500 0.0609 0.1218
Cu2 Cu 0.2500 0.9391 0.8782
Al1 Al 0.5000 0.7101 0.0000
Al2 Al 0.0000 0.7101 0.0000
Al3 Al 0.5000 0.2899 0.0000
Al4 Al 0.0000 0.2899 0.0000
Al5 Al 0.2500 0.1477 0.2955
Al6 Al 0.7500 0.8523 0.7045
Tb1 Tb 0.2500 0.7174 0.4348
Tb2 Tb 0.7500 0.2826 0.5652
Pt1 Pt 0.7500 0.6425 0.2849
Pt2 Pt 0.2500 0.3575 0.7151



The following is a DFT calculation (PBE) of crystalline Tb6P2HS3 at its relaxed geometry.

```
data_Tb6P2HS3
_chemical_formula_sum 'Tb6 P2 H1 S3'
_symmetry_space_group_name_H-M 'P 1'
_symmetry_Int_Tables_number 1
_cell_length_a 3.9564
_cell_length_b 7.8252
_cell_length_c 8.7716
_cell_angle_alpha 103.69
_cell_angle_beta 103.03
_cell_angle_gamma 90.00
loop_
_symmetry_equiv_pos_as_xyz
'x,y,z'
loop_
_atom_site_label
_atom_site_type_symbol
_atom_site_fract_x
_atom_site_fract_y
_atom_site_fract_z
S1 S 0.1679 0.8340 0.3357
S2 S 0.5000 0.5000 0.0000
S3 S 0.8321 0.1660 0.6643
P1 P 0.8365 0.6720 0.6730
P2 P 0.1635 0.3280 0.3270
Tb1 Tb 0.9992 0.2531 0.9984
Tb2 Tb 0.0008 0.7469 0.0016
Tb3 Tb 0.3310 0.4209 0.6620
Tb4 Tb 0.6690 0.5791 0.3380
Tb5 Tb 0.3330 0.9140 0.6660
Tb6 Tb 0.6670 0.0860 0.3340
H1 H 0.5000 0.0000 0.0000
```



# GdGa PBE optimized geometry
# * formation energy: -553 meV per atom
data_GdGa
_chemical_formula_sum 'Gd4 Ga4'
_symmetry_space_group_name_H-M 'P 1'
_symmetry_Int_Tables_number 1
_cell_length_a 5.6046
_cell_length_b 5.8017
_cell_length_c 5.8017
_cell_angle_alpha 100.66
_cell_angle_beta 90.00
_cell_angle_gamma 90.00
loop_
_symmetry_equiv_pos_as_xyz
'x,y,z'
loop_
_atom_site_label
_atom_site_type_symbol
_atom_site_fract_x
_atom_site_fract_y
_atom_site_fract_z
Gd1 Gd 0.7500 0.5309 0.1573
Gd2 Gd 0.7500 0.1573 0.5309
Gd3 Gd 0.2500 0.4691 0.8427
Gd4 Gd 0.2500 0.8427 0.4691
Ga1 Ga 0.7500 0.6825 0.6825
Ga2 Ga 0.0000 0.0000 0.0000
Ga3 Ga 0.2500 0.3175 0.3175
Ga4 Ga 0.5000 0.0000 0.0000



# SrAgOs PBE optimized geometry
# * formation energy: 755 meV per atom
# * E above lowest polymorph: 0.11 eV per formula unit
data_SrAgOs
_chemical_formula_sum 'Sr1 Ag1 Os1'
_symmetry_space_group_name_H-M 'P 1'
_symmetry_Int_Tables_number 1
_cell_length_a 5.0608
_cell_length_b 5.0608
_cell_length_c 2.8410
_cell_angle_alpha 90.00
_cell_angle_beta 90.00
_cell_angle_gamma 120.00
loop_
_symmetry_equiv_pos_as_xyz
'x,y,z'
loop_
_atom_site_label
_atom_site_type_symbol
_atom_site_fract_x
_atom_site_fract_y
_atom_site_fract_z
Ag1 Ag 0.0000 0.0000 0.1654
Os1 Os 0.6667 0.3333 0.1676
Sr1 Sr 0.3333 0.6667 0.6670



Number 1: total energy -34.2 eV per cell, spin magnetization 0.000 μB per atom, theoretical density 9.56 g cm⁻³. Number 2: total energy -19.6 eV per cell, spin magnetization 0.000 μB per atom, theoretical density 8.00 g cm⁻³. Number 3: total energy -28.3 eV per cell, spin magnetization 0.922 μB per atom, theoretical density 4.90 g cm⁻³. Number 4: total energy -77.2 eV per cell, spin magnetization 0.000 μB per atom, theoretical density 11.50 g cm⁻³. Number 5: total energy -58.1 eV per cell, spin magnetization 0.000 μB per atom, theoretical density 7.55 g cm⁻³. Number 6: total energy -73.6 eV per cell, spin magnetization 0.000 μB per atom, theoretical density 7.20 g cm⁻³. Number 7: total energy -72.9 eV per cell, spin magnetization 3.624 μB per atom, theoretical density 8.13 g cm⁻³. Number 8: total energy -13.5 eV per cell, spin magnetization 0.000 μB per atom, theoretical density 10.16 g cm⁻³.